Crystalline MgSbH3 at its relaxed geometry. Source: Alexandria via LeMat-Bulk, functional PBE-GGA.

Calculated values
Space-group type: Pm-3m
M_tot in μB per atom: 0.000
Energy in eV/cell: -12.97
Energy above the lowest structure with this stoichiometry in meV/atom: 121

Geometry as POSCAR:
```
MgSbH3
1.0
4.1450 0.0000 0.0000
0.0000 4.1450 0.0000
0.0000 0.0000 4.1450
H Mg Sb
3 1 1
Direct
0.0000 0.5000 0.0000
0.0000 0.0000 0.5000
0.5000 0.0000 0.0000
0.5000 0.5000 0.5000
0.0000 0.0000 0.0000
```